1.
Here is a geometry-optimized CoRePb structure from Alexandria via LeMat-Bulk. Energies are from PBE-GGA.

Cell and atoms, written as CIF:
```
data_CoRePb
_chemical_formula_sum 'Co1 Re1 Pb1'
_symmetry_space_group_name_H-M 'P 1'
_symmetry_Int_Tables_number 1
_symmetry_space_group_name_Hall 'P 1'
_cell_length_a 2.884
_cell_length_b 2.933
_cell_length_c 6.261
_cell_angle_alpha 90.00
_cell_angle_beta 90.00
_cell_angle_gamma 90.00
loop_
_atom_site_label
_atom_site_type_symbol
_atom_site_fract_x
_atom_site_fract_y
_atom_site_fract_z
Pb1 Pb 0.000 0.000 0.991
Re1 Re 0.000 0.500 0.389
Co1 Co 0.500 0.000 0.616
```

mass density	14.18	g cm⁻³
formation enthalpy at 0 K	0.64	eV/atom
space-group type	Pmm2

2.
Here is a geometry-optimized YTaIr2 structure from Alexandria via LeMat-Bulk. Energies are from PBE-GGA.

Cell and atoms, written as CIF:
```
data_YTaIr2
_chemical_formula_sum 'Y1 Ta1 Ir2'
_symmetry_space_group_name_H-M 'P 1'
_symmetry_Int_Tables_number 1
_symmetry_space_group_name_Hall 'P 1'
_cell_length_a 4.649
_cell_length_b 3.108
_cell_length_c 5.146
_cell_angle_alpha 80.30
_cell_angle_beta 90.00
_cell_angle_gamma 90.00
loop_
_atom_site_label
_atom_site_type_symbol
_atom_site_fract_x
_atom_site_fract_y
_atom_site_fract_z
Ir1 Ir 0.000 0.188 0.944
Ir2 Ir 0.500 0.084 0.318
Ta1 Ta 0.000 0.515 0.402
Y1 Y 0.500 0.713 0.835
```

mass density	14.82	g cm⁻³
formation enthalpy at 0 K	-0.53	eV/atom
space-group type	Pm

3.
Here is a geometry-optimized Dy3Th structure from Alexandria via LeMat-Bulk. Energies are from PBE-GGA.

Cell and atoms, written as CIF:
```
data_Dy3Th
_chemical_formula_sum 'Dy3 Th1'
_symmetry_space_group_name_H-M 'P 1'
_symmetry_Int_Tables_number 1
_symmetry_space_group_name_Hall 'P 1'
_cell_length_a 3.601
_cell_length_b 6.194
_cell_length_c 6.758
_cell_angle_alpha 117.27
_cell_angle_beta 105.45
_cell_angle_gamma 90.00
loop_
_atom_site_label
_atom_site_type_symbol
_atom_site_fract_x
_atom_site_fract_y
_atom_site_fract_z
Th1 Th 0.000 0.989 0.000
Dy1 Dy 0.249 0.586 0.498
Dy2 Dy 0.500 0.504 0.000
Dy3 Dy 0.751 0.088 0.502
```

mass density	9.35	g cm⁻³
formation enthalpy at 0 K	0.04	eV/atom
space-group type	Imm2

4.
Here is a geometry-optimized Zr2NiAs structure from Alexandria via LeMat-Bulk. Energies are from PBE-GGA.

Cell and atoms, written as CIF:
```
data_Zr2NiAs
_chemical_formula_sum 'Zr2 Ni1 As1'
_symmetry_space_group_name_H-M 'P 1'
_symmetry_Int_Tables_number 1
_symmetry_space_group_name_Hall 'P 1'
_cell_length_a 3.712
_cell_length_b 3.712
_cell_length_c 6.840
_cell_angle_alpha 74.14
_cell_angle_beta 74.14
_cell_angle_gamma 60.12
loop_
_atom_site_label
_atom_site_type_symbol
_atom_site_fract_x
_atom_site_fract_y
_atom_site_fract_z
As1 As 0.250 0.250 0.250
Ni1 Ni 0.750 0.750 0.750
Zr1 Zr 0.004 0.004 0.990
Zr2 Zr 0.496 0.496 0.510
```

mass density	6.77	g cm⁻³
formation enthalpy at 0 K	-0.60	eV/atom
space-group type	C2/m